The following is a DFT calculation (PBE+U) of an optimized crystal structure of CaNb2CrF.

- Space-group type: P4/mmm
- Total energy: -4.21 eV per atom

Cell: 5.0393 5.0288 5.0393 Å, 90.00 90.00 90.00°
Site moments in Bohr magnetons follow the coordinates.
Element x y z (fractional)
Nb  0.5000  0.0000  0.0000  1.21
Nb  0.0000  0.0000  0.5000  1.02
F  0.5000  0.5000  0.5000  -0.01
Ca  0.0000  0.0000  0.0000  0.01
Cr  0.0000  0.5000  0.0000  -4.32